[1]
DFT (PBE-GGA) results for an optimized crystal structure of V2SiGeTe.

a = 4.6950 Å, b = 5.1515 Å, c = 4.6950 Å
α = 90.00°, β = 90.00°, γ = 90.00°
Last column: nearest neighbours and their distance in Å.
Sites, in units of the cell vectors:
V 0.0000 0.0000 0.5000  2 Si 2.35
V 0.5000 0.0000 0.0000  2 Si 2.35
Ge 0.5000 0.5000 0.5000  4 Te 3.32, 8 V 3.48
Te 0.0000 0.5000 0.0000  2 Si 2.58
Si 0.0000 0.0000 0.0000  4 V 2.35, 2 Te 2.58

Computed properties:
Total moment = 4.82 μB per formula unit
Space-group type = P4/mmm (123)
DOS at the Fermi energy = 5.96 states/eV/cell
Formation energy without anion corrections = 935 meV per atom

=====

[2]
DFT (PBE-GGA) results for an optimized crystal structure of Y6SiGe2Te3.

a = 4.2438 Å, b = 8.6293 Å, c = 9.6164 Å
α = 104.38°, β = 102.75°, γ = 90.00°
Last column: nearest neighbours and their distance in Å.
Sites, in units of the cell vectors:
Y 0.0063 0.2316 0.0125  2 Si 2.90, 1 Ge 2.91, 3 Te 3.15-3.17
Y 0.3408 0.9011 0.6816  1 Si 2.89, 2 Ge 2.91, 3 Te 3.15-3.16
Y 0.6731 0.5665 0.3462  3 Ge 2.91, 3 Te 3.15
Y 0.3269 0.4335 0.6538  3 Ge 2.91, 3 Te 3.15
Y 0.6592 0.0989 0.3184  1 Si 2.89, 2 Ge 2.91, 3 Te 3.15-3.16
Y 0.9937 0.7684 0.9875  2 Si 2.90, 1 Ge 2.91, 3 Te 3.15-3.17
Ge 0.1666 0.3329 0.3331  6 Y 2.91
Ge 0.8334 0.6671 0.6669  6 Y 2.91
Te 0.5000 0.5000 0.0000  6 Y 3.15-3.17
Te 0.1669 0.8333 0.3339  6 Y 3.15-3.16
Te 0.8331 0.1667 0.6661  6 Y 3.15-3.16
Si 0.5000 0.0000 0.0000  6 Y 2.89-2.90

Computed properties:
Total moment = 0.00 μB per formula unit
Space-group type = C2/m (12)
DOS at the Fermi energy = 2.07 states/eV/cell
Formation energy without anion corrections = -1184 meV per atom

=====

[3]
DFT (PBE-GGA) results for an optimized crystal structure of Y4SiGeTe2.

a = 4.2415 Å, b = 7.3385 Å, c = 7.5152 Å
α = 108.99°, β = 90.00°, γ = 90.00°
Last column: nearest neighbours and their distance in Å.
Sites, in units of the cell vectors:
Y 0.0000 0.2618 0.7811  2 Si 2.90, 1 Ge 2.91, 3 Te 3.15-3.16
Y 0.0000 0.7382 0.2189  2 Si 2.90, 1 Ge 2.91, 3 Te 3.15-3.16
Y 0.5000 0.7592 0.7806  1 Si 2.89, 2 Ge 2.91, 3 Te 3.15-3.16
Y 0.5000 0.2408 0.2194  1 Si 2.89, 2 Ge 2.91, 3 Te 3.15-3.16
Te 0.5000 0.0000 0.5000  6 Y 3.16
Te 0.0000 0.5000 0.5000  6 Y 3.15
Ge 0.0000 0.0000 0.0000  6 Y 2.91
Si 0.5000 0.5000 0.0000  6 Y 2.89-2.90

Computed properties:
Total moment = 0.00 μB per formula unit
Space-group type = P2/m (10)
DOS at the Fermi energy = 1.22 states/eV/cell
Formation energy without anion corrections = -1169 meV per atom